Density functional theory data (PBE with a Hubbard U) for a geometry-optimized Ni2IrRhO6 structure.

Results
electronic total energy: -0.40342 Ry/atom
crystal system: tetragonal

Cell lengths 5.773, 5.773, 3.830 Å; angles 90.00, 90.00, 90.00 degrees
Space group P4mm (No. 99)
Symmetry-distinct sites (fractional):
1 Ni 0.000 0.500 0.000 [2 per cell]
2 Ir 0.000 0.000 0.820 [1 per cell]
3 Rh 0.500 0.500 0.811 [1 per cell]
4 O 0.000 0.000 0.333 [1 per cell]
5 O 0.246 0.246 0.910 [4 per cell]
6 O 0.500 0.500 0.322 [1 per cell]